First-principles (GGA-PBEsol) data for YPt2 after structural relaxation, as listed in Alexandria via LeMat-Bulk.

The total energy is -7.92 eV per atom. The energy relative to the elements comes out at -1005 meV/atom. The space group is No. 62.

abc: 4.2086 5.7331 8.9300
angles: 90.00 90.00 90.00
Closest atoms and distances in Å follow each position.
Positions (direct):
Pt1 0.7500 0.8834 0.7587  5 Y 2.85-3.11, 7 Pt 2.87-3.04
Pt2 0.7500 0.8664 0.4262  5 Y 2.80-2.96, 7 Pt 2.92-3.04
Pt3 0.2500 0.6336 0.9262  5 Y 2.80-2.96, 7 Pt 2.92-3.04
Pt4 0.2500 0.6166 0.2587  5 Y 2.85-3.11, 7 Pt 2.87-3.04
Pt5 0.7500 0.3834 0.7413  5 Y 2.85-3.11, 7 Pt 2.87-3.04
Pt6 0.7500 0.3664 0.0738  5 Y 2.80-2.96, 7 Pt 2.92-3.04
Pt7 0.2500 0.1336 0.5738  5 Y 2.80-2.96, 7 Pt 2.92-3.04
Pt8 0.2500 0.1166 0.2413  5 Y 2.85-3.11, 7 Pt 2.87-3.04
Y1 0.7500 0.8523 0.1068  10 Pt 2.80-3.11
Y2 0.2500 0.6477 0.6068  10 Pt 2.80-3.11
Y3 0.7500 0.3523 0.3932  10 Pt 2.80-3.11
Y4 0.2500 0.1477 0.8932  10 Pt 2.80-3.11